Version a
GdCoAsO: relaxed, PBE+U.

Geometry as POSCAR:
```
GdCoAsO
1.0
-0.3207 3.2844 -2.7214
-3.9302 -1.0183 -0.7657
-2.1043 4.1602 5.2689
Gd Co As O
2 2 2 2
Direct
0.5000 0.7370 0.1079
0.5000 0.2630 0.6079
0.0000 0.7535 0.4322
0.0000 0.2465 0.9322
0.0000 0.2578 0.2713
0.0000 0.7422 0.7713
0.5000 0.2330 0.9427
0.5000 0.7670 0.4427
```

Results
Crystal system = orthorhombic
Total magnetic moment = 1.9 μB/f.u.


Version b
GdCoAsO: relaxed, PBE+U.

Geometry as POSCAR:
```
GdCoAsO
1.0
4.3606 0.0000 0.0000
0.0000 6.1391 0.0000
0.0000 0.0000 5.8889
O Gd As Co
2 2 2 2
Direct
0.5000 0.3331 0.3884
0.5000 0.6669 0.8884
0.0000 0.7627 0.9106
0.0000 0.2373 0.4106
0.0000 0.2376 0.9096
0.0000 0.7624 0.4096
0.5000 0.6201 0.5455
0.5000 0.3799 0.0455
```

Results
Crystal system = orthorhombic
Total magnetic moment = 3.0 μB/f.u.


On energetic grounds, version b is preferred over the next structure by 3.1 kJ/mol of atoms.